Here is a relaxed ReBi3Ru crystal from Alexandria. Energies are from GGA-PBEsol.

Properties
magnetic moment: 2.8 μB per formula unit
raw total energy: -5.740 eV per atom
formation energy: 1.5319 eV/atom

a b c (Å): 5.129 5.129 5.129
angles (deg): 90.00 90.00 90.00
Space group Pm-3m (No. 221)
One atom of each set of equivalent atoms:
Re1 0.000 0.000 0.000 (multiplicity 1)
Bi1 0.000 0.500 0.500 (multiplicity 3)
Ru1 0.500 0.500 0.500 (multiplicity 1)

---

Here is a relaxed HfMo2CI crystal from Alexandria. Energies are from GGA-PBEsol.

Properties
ΔE_f (raw): 2.359 eV/atom
magnetic moment: 0.3 μB per formula unit
raw total energy: -6.731 eV per atom

a b c (Å): 4.930 4.930 4.036
angles (deg): 90.00 90.00 90.00
Space group P4/mmm (No. 123)
One atom of each set of equivalent atoms:
Hf1 0.000 0.000 0.000 (multiplicity 1)
Mo1 0.000 0.500 0.500 (multiplicity 2)
C1 0.500 0.500 0.000 (multiplicity 1)
I1 0.500 0.500 0.500 (multiplicity 1)

---

Here is a relaxed Ru2PbSe crystal from Alexandria. Energies are from GGA-PBEsol.

Properties
ΔE_f (raw): 0.701 eV/atom
magnetic moment: 0.0 μB per formula unit
raw total energy: -6.348 eV per atom

a b c (Å): 3.075 5.480 8.372
angles (deg): 90.00 90.00 90.00
Space group Cmmm (No. 65)
One atom of each set of equivalent atoms:
Ru1 0.000 0.000 0.222 (multiplicity 4)
Pb1 0.000 0.500 0.500 (multiplicity 2)
Se1 0.000 0.500 0.000 (multiplicity 2)

---

Here is a relaxed ZnBi2P2 crystal from Alexandria. Energies are from GGA-PBEsol.

Properties
magnetic moment: 0.0 μB per formula unit
raw total energy: -4.031 eV per atom
formation energy: 0.3160 eV/atom

a b c (Å): 7.499 7.499 3.919
angles (deg): 90.00 90.00 90.00
Space group P4/mbm (No. 127)
One atom of each set of equivalent atoms:
Zn1 0.000 0.000 0.000 (multiplicity 2)
Bi1 0.157 0.343 0.500 (multiplicity 4)
P1 0.160 0.660 0.000 (multiplicity 4)

---

Here is a relaxed BaMoSe3 crystal from Alexandria. Energies are from GGA-PBEsol.

Properties
ΔE_f (raw): 1.227 eV/atom
magnetic moment: 2.6 μB per formula unit
raw total energy: -3.866 eV per atom

a b c (Å): 5.832 5.832 5.832
angles (deg): 90.00 90.00 90.00
Space group Pm-3m (No. 221)
One atom of each set of equivalent atoms:
Ba1 0.000 0.000 0.000 (multiplicity 1)
Mo1 0.500 0.500 0.500 (multiplicity 1)
Se1 0.000 0.000 0.500 (multiplicity 3)

---

Here is a relaxed Cs2CoSiO4 crystal from Alexandria. Energies are from GGA-PBEsol.

Properties
ΔE_f (raw): -1.885 eV/atom
magnetic moment: 3.0 μB per formula unit
raw total energy: -6.430 eV per atom

a b c (Å): 5.781 12.323 8.075
angles (deg): 90.00 90.00 90.00
Space group Cmc2_1 (No. 36)
One atom of each set of equivalent atoms:
Cs1 0.000 0.072 0.000 (multiplicity 4)
Cs2 0.000 0.405 0.852 (multiplicity 4)
Co1 0.000 0.205 0.580 (multiplicity 4)
Si1 0.000 0.303 0.293 (multiplicity 4)
O1 0.000 0.171 0.335 (multiplicity 4)
O2 0.000 0.355 0.483 (multiplicity 4)
O3 0.231 0.343 0.192 (multiplicity 8)

---

Here is a relaxed K2ScTa crystal from Alexandria. Energies are from GGA-PBEsol.

Properties
magnetic moment: 0.0 μB per formula unit
raw total energy: -4.241 eV per atom
formation energy: 1.1152 eV/atom

a b c (Å): 3.145 5.235 13.228
angles (deg): 90.00 90.00 90.00
Space group Cmmm (No. 65)
One atom of each set of equivalent atoms:
K1 0.000 0.000 0.240 (multiplicity 4)
Sc1 0.000 0.500 0.500 (multiplicity 2)
Ta1 0.000 0.500 0.000 (multiplicity 2)

---

Here is a relaxed Ta4Mo3 crystal from Alexandria. Energies are from GGA-PBEsol.

Properties
magnetic moment: 0.0 μB per formula unit
raw total energy: -12.303 eV per atom
formation energy: -0.0874 eV/atom

a b c (Å): 18.291 4.513 2.812
angles (deg): 90.00 96.38 90.00
Space group Cm (No. 8)
One atom of each set of equivalent atoms:
Ta1 0.000 0.000 0.000 (multiplicity 2)
Ta2 0.074 0.500 0.697 (multiplicity 2)
Ta3 0.148 0.000 0.406 (multiplicity 2)
Ta4 0.357 0.500 0.541 (multiplicity 2)
Mo1 0.218 0.500 0.117 (multiplicity 2)
Mo2 0.287 0.000 0.845 (multiplicity 2)
Mo3 0.428 0.000 0.264 (multiplicity 2)

---

Here is a relaxed LaHf2CdAg crystal from Alexandria. Energies are from GGA-PBEsol.

Properties
magnetic moment: 0.0 μB per formula unit
raw total energy: -4.511 eV per atom
formation energy: 1.6608 eV/atom

a b c (Å): 5.133 5.133 5.559
angles (deg): 90.00 90.00 90.00
Space group P4/mmm (No. 123)
One atom of each set of equivalent atoms:
La1 0.000 0.000 0.000 (multiplicity 1)
Hf1 0.000 0.500 0.000 (multiplicity 2)
Cd1 0.000 0.000 0.500 (multiplicity 1)
Ag1 0.500 0.500 0.500 (multiplicity 1)

---

Here is a relaxed TaTl2Zn crystal from Alexandria. Energies are from GGA-PBEsol.

Properties
magnetic moment: 0.0 μB per formula unit
raw total energy: -4.317 eV per atom
formation energy: 0.5314 eV/atom

a b c (Å): 10.177 3.135 5.196
angles (deg): 90.00 105.86 90.00
Space group C2/m (No. 12)
One atom of each set of equivalent atoms:
Ta1 0.000 0.000 0.000 (multiplicity 2)
Tl1 0.244 0.000 0.749 (multiplicity 4)
Zn1 0.000 0.500 0.500 (multiplicity 2)

---

Here is a relaxed ErPt2 crystal from Alexandria. Energies are from GGA-PBEsol.

Properties
magnetic moment: 0.0 μB per formula unit
raw total energy: -7.408 eV per atom
formation energy: -1.1232 eV/atom

a b c (Å): 7.548 7.548 7.548
angles (deg): 90.00 90.00 90.00
Space group Fd-3m (No. 227, origin choice 2)
One atom of each set of equivalent atoms:
Er1 0.125 0.125 0.125 (multiplicity 8)
Pt1 0.000 0.000 0.500 (multiplicity 16)

---

Here is a relaxed Rb3NiTe crystal from Alexandria. Energies are from GGA-PBEsol.

Properties
ΔE_f (raw): 0.197 eV/atom
magnetic moment: 1.0 μB per formula unit
raw total energy: -2.355 eV per atom

a b c (Å): 6.823 6.823 6.823
angles (deg): 90.00 90.00 90.00
Space group Pm-3m (No. 221)
One atom of each set of equivalent atoms:
Rb1 0.000 0.000 0.500 (multiplicity 3)
Ni1 0.500 0.500 0.500 (multiplicity 1)
Te1 0.000 0.000 0.000 (multiplicity 1)